This record from Alexandria describes a relaxed FeAgTeN2 crystal. The functional is GGA-PBE.

calculated density: 6.8 Mg/m³
polymorph energy (0 for the lowest one): 0 meV per atom
DOS at the Fermi energy: 2.9 states/eV/f.u.
magnetic moment: 0.28 Bohr magnetons per cell
space group: P4/mmm
VASP energy: -5.33 eV per atom
energy relative to the elements, uncorrected: 0.89 eV/atom

Geometry as POSCAR:
```
FeAgTeN2
1.0
-0.055 2.504 2.763
1.943 -2.340 2.158
4.787 2.213 -1.910
Fe Te N Ag
1 1 2 1
direct
0.000 0.000 0.000
0.000 0.000 0.500
0.000 0.500 0.000
0.500 0.000 0.000
0.500 0.500 0.500
```